Entry A
Computed, not measured: RbSeI2O after structural relaxation at the PBE-GGA level of DFT.

Results
size of the total moment = 0.00 μB/f.u.

Lattice parameters (Å, degrees): 6.2317 6.2317 3.9231 90.00 90.00 90.00
Last column: nearest neighbours and their distance in Å.
Space group P4/mmm (No. 123)
One atom of each set of equivalent atoms:
Rb 0.0000 0.0000 0.0000 x1  8 I 3.68, 2 Rb 3.92
Se 0.5000 0.5000 0.5000 x1  2 O 1.96
I 0.0000 0.5000 0.5000 x2  2 Se 3.12
O 0.5000 0.5000 0.0000 x1  2 Se 1.96

---

Entry B
Computed, not measured: RbSeI2O after structural relaxation at the PBE-GGA level of DFT.

Results
size of the total moment = 0.18 μB/f.u.

Lattice parameters (Å, degrees): 6.6653 6.6653 4.1854 90.00 90.00 90.00
Last column: nearest neighbours and their distance in Å.
Space group P4/mmm (No. 123)
One atom of each set of equivalent atoms:
Rb 0.0000 0.0000 0.0000 x1  2 O 2.09
Se 0.5000 0.5000 0.5000 x1  8 I 3.94, 2 Se 4.19
I 0.0000 0.5000 0.0000 x2  2 Rb 3.33
O 0.0000 0.0000 0.5000 x1  2 Rb 2.09

---

Of them, entry B has the lowest stability.

---

Entry A
Computed, not measured: RbSiIO2 after structural relaxation at the PBE-GGA level of DFT.

Results
size of the total moment = 0.68 μB/f.u.

Lattice parameters (Å, degrees): 4.4989 4.4989 6.6974 90.00 90.00 90.00
Last column: nearest neighbours and their distance in Å.
Space group P4/mmm (No. 123)
One atom of each set of equivalent atoms:
Rb 0.0000 0.0000 0.0000 x1  4 O 2.25
Si 0.5000 0.5000 0.5000 x1  4 I 3.18
I 0.0000 0.0000 0.5000 x1  4 Si 3.18, 2 Rb 3.35
O 0.0000 0.5000 0.0000 x2  2 Rb 2.25

---

Entry B
Computed, not measured: RbSiIO2 after structural relaxation at the PBE-GGA level of DFT.

Results
size of the total moment = 0.24 μB/f.u.

Lattice parameters (Å, degrees): 4.1743 4.1743 5.4205 90.00 90.00 90.00
Last column: nearest neighbours and their distance in Å.
Space group P4/mmm (No. 123)
One atom of each set of equivalent atoms:
Rb 0.0000 0.0000 0.0000 x1  4 I 2.95
Si 0.5000 0.5000 0.5000 x1  4 O 2.09
I 0.5000 0.5000 0.0000 x1  2 Si 2.71, 4 Rb 2.95
O 0.0000 0.5000 0.5000 x2  2 Si 2.09

---

Of them, entry A has the lowest stability.

---

Entry A
Computed, not measured: RbSiI2O after structural relaxation at the PBE-GGA level of DFT.

Results
size of the total moment = 0.00 μB/f.u.

Lattice parameters (Å, degrees): 6.4894 6.4894 4.2140 90.00 90.00 90.00
Last column: nearest neighbours and their distance in Å.
Space group P4/mmm (No. 123)
One atom of each set of equivalent atoms:
Rb 0.0000 0.0000 0.0000 x1  2 O 2.11
Si 0.5000 0.5000 0.5000 x1  8 I 3.87, 2 Si 4.21
I 0.0000 0.5000 0.0000 x2  2 Rb 3.24
O 0.0000 0.0000 0.5000 x1  2 Rb 2.11

---

Entry B
Computed, not measured: RbSiI2O after structural relaxation at the PBE-GGA level of DFT.

Results
size of the total moment = 0.00 μB/f.u.

Lattice parameters (Å, degrees): 6.1993 6.1993 3.6361 90.00 90.00 90.00
Last column: nearest neighbours and their distance in Å.
Space group P4/mmm (No. 123)
One atom of each set of equivalent atoms:
Rb 0.0000 0.0000 0.0000 x1  8 I 3.59, 2 Rb 3.64
Si 0.5000 0.5000 0.5000 x1  2 O 1.82
I 0.0000 0.5000 0.5000 x2  2 Si 3.10
O 0.5000 0.5000 0.0000 x1  2 Si 1.82

---

Of them, entry A has the lowest stability.

---

Entry A
Computed, not measured: RbSnI2O after structural relaxation at the PBE-GGA level of DFT.

Results
size of the total moment = 0.46 μB/f.u.

Lattice parameters (Å, degrees): 6.5325 6.5325 4.4089 90.00 90.00 90.00
Last column: nearest neighbours and their distance in Å.
Space group P4/mmm (No. 123)
One atom of each set of equivalent atoms:
Rb 0.0000 0.0000 0.0000 x1  2 O 2.20
Sn 0.5000 0.5000 0.5000 x1  8 I 3.94, 2 Sn 4.41
I 0.0000 0.5000 0.0000 x2  2 Rb 3.27
O 0.0000 0.0000 0.5000 x1  2 Rb 2.20

---

Entry B
Computed, not measured: RbSnI2O after structural relaxation at the PBE-GGA level of DFT.

Results
size of the total moment = 0.00 μB/f.u.

Lattice parameters (Å, degrees): 6.3949 6.3949 4.1416 90.00 90.00 90.00
Last column: nearest neighbours and their distance in Å.
Space group P4/mmm (No. 123)
One atom of each set of equivalent atoms:
Rb 0.0000 0.0000 0.0000 x1  8 I 3.81, 2 Rb 4.14
Sn 0.5000 0.5000 0.5000 x1  2 O 2.07
I 0.0000 0.5000 0.5000 x2  2 Sn 3.20
O 0.5000 0.5000 0.0000 x1  2 Sn 2.07

---

Of them, entry A has the lowest stability.

---

Entry A
Computed, not measured: RbSrI2O after structural relaxation at the PBE-GGA level of DFT.

Results
size of the total moment = 1.00 μB/f.u.

Lattice parameters (Å, degrees): 6.6156 6.6156 4.7206 90.00 90.00 90.00
Last column: nearest neighbours and their distance in Å.
Space group P4/mmm (No. 123)
One atom of each set of equivalent atoms:
Rb 0.0000 0.0000 0.0000 x1  8 I 4.06
Sr 0.5000 0.5000 0.5000 x1  2 O 2.36
I 0.0000 0.5000 0.5000 x2  2 Sr 3.31
O 0.5000 0.5000 0.0000 x1  2 Sr 2.36

---

Entry B
Computed, not measured: RbSrI2O after structural relaxation at the PBE-GGA level of DFT.

Results
size of the total moment = 0.18 μB/f.u.

Lattice parameters (Å, degrees): 6.4679 6.4679 4.5984 90.00 90.00 90.00
Last column: nearest neighbours and their distance in Å.
Space group P4/mmm (No. 123)
One atom of each set of equivalent atoms:
Rb 0.0000 0.0000 0.0000 x1  2 O 2.30
Sr 0.5000 0.5000 0.5000 x1  8 I 3.97
I 0.0000 0.5000 0.0000 x2  2 Rb 3.23
O 0.0000 0.0000 0.5000 x1  2 Rb 2.30

---

Of them, entry B has the lowest stability.

---

Entry A
Computed, not measured: RbTaI2O after structural relaxation at the PBE-GGA level of DFT.

Results
size of the total moment = 0.68 μB/f.u.

Lattice parameters (Å, degrees): 6.3118 6.3118 4.0363 90.00 90.00 90.00
Last column: nearest neighbours and their distance in Å.
Space group P4/mmm (No. 123)
One atom of each set of equivalent atoms:
Rb 0.0000 0.0000 0.0000 x1  2 O 2.02
Ta 0.5000 0.5000 0.5000 x1  8 I 3.75, 2 Ta 4.04
I 0.0000 0.5000 0.0000 x2  2 Rb 3.16
O 0.0000 0.0000 0.5000 x1  2 Rb 2.02

---

Entry B
Computed, not measured: RbTaI2O after structural relaxation at the PBE-GGA level of DFT.

Results
size of the total moment = 1.48 μB/f.u.

Lattice parameters (Å, degrees): 6.0608 6.0608 3.9687 90.00 90.00 90.00
Last column: nearest neighbours and their distance in Å.
Space group P4/mmm (No. 123)
One atom of each set of equivalent atoms:
Rb 0.0000 0.0000 0.0000 x1  8 I 3.62, 2 Rb 3.97
Ta 0.5000 0.5000 0.5000 x1  2 O 1.98
I 0.0000 0.5000 0.5000 x2  2 Ta 3.03
O 0.5000 0.5000 0.0000 x1  2 Ta 1.98

---

Of them, entry A has the lowest stability.

---

Entry A
Computed, not measured: RbTaIO2 after structural relaxation at the PBE-GGA level of DFT.

Results
size of the total moment = 0.21 μB/f.u.

Lattice parameters (Å, degrees): 4.2379 4.2379 5.8513 90.00 90.00 90.00
Last column: nearest neighbours and their distance in Å.
Space group P4/mmm (No. 123)
One atom of each set of equivalent atoms:
Rb 0.0000 0.0000 0.0000 x1  4 I 3.00
Ta 0.5000 0.5000 0.5000 x1  4 O 2.12
I 0.5000 0.5000 0.0000 x1  2 Ta 2.93, 4 Rb 3.00
O 0.0000 0.5000 0.5000 x2  2 Ta 2.12

---

Entry B
Computed, not measured: RbTaIO2 after structural relaxation at the PBE-GGA level of DFT.

Results
size of the total moment = 0.62 μB/f.u.

Lattice parameters (Å, degrees): 4.3919 4.3919 6.2857 90.00 90.00 90.00
Last column: nearest neighbours and their distance in Å.
Space group P4/mmm (No. 123)
One atom of each set of equivalent atoms:
Rb 0.0000 0.0000 0.0000 x1  4 O 2.20
Ta 0.5000 0.5000 0.5000 x1  4 I 3.11
I 0.0000 0.0000 0.5000 x1  4 Ta 3.11, 2 Rb 3.14
O 0.0000 0.5000 0.0000 x2  2 Rb 2.20

---

Of them, entry B has the lowest stability.

---

Entry A
Computed, not measured: RbTcIO2 after structural relaxation at the PBE-GGA level of DFT.

Results
size of the total moment = 5.35 μB/f.u.

Lattice parameters (Å, degrees): 4.4827 4.4827 6.7169 90.00 90.00 90.00
Last column: nearest neighbours and their distance in Å.
Space group P4/mmm (No. 123)
One atom of each set of equivalent atoms:
Rb 0.0000 0.0000 0.0000 x1  4 O 2.24
Tc 0.5000 0.5000 0.5000 x1  4 I 3.17
I 0.0000 0.0000 0.5000 x1  4 Tc 3.17, 2 Rb 3.36
O 0.0000 0.5000 0.0000 x2  2 Rb 2.24

---

Entry B
Computed, not measured: RbTcIO2 after structural relaxation at the PBE-GGA level of DFT.

Results
size of the total moment = 0.00 μB/f.u.

Lattice parameters (Å, degrees): 4.1931 4.1931 5.6695 90.00 90.00 90.00
Last column: nearest neighbours and their distance in Å.
Space group P4/mmm (No. 123)
One atom of each set of equivalent atoms:
Rb 0.0000 0.0000 0.0000 x1  4 I 2.96
Tc 0.5000 0.5000 0.5000 x1  4 O 2.10
I 0.5000 0.5000 0.0000 x1  2 Tc 2.83, 4 Rb 2.96
O 0.0000 0.5000 0.5000 x2  2 Tc 2.10

---

Of them, entry A has the lowest stability.